Entry w
## BeSnCl2 (PBE)

Data for a geometry-optimized BeSnCl2 structure.

Cell lengths 7.1348, 7.1348, 7.1348 Å; angles 90.00, 90.00, 90.00 degrees
With the nearest neighbours (Å) after each atom.
Space group Fm-3m (No. 225)
Asymmetric unit:
Be1 0.0000 0.0000 0.0000 (multiplicity 4)  8 Cl 3.09
Sn1 0.0000 0.0000 0.5000 (multiplicity 4)  8 Cl 3.09
Cl1 0.2500 0.2500 0.2500 (multiplicity 8)  4 Sn 3.09, 4 Be 3.09

- magnetization (μB/atom) = 0.000


Entry x
## BeSnCl2 (PBE)

Data for a geometry-optimized BeSnCl2 structure.

Cell lengths 3.2202, 3.2202, 37.0740 Å; angles 90.00, 90.00, 120.00 degrees
With the nearest neighbours (Å) after each atom.
Space group R-3m (No. 166, hexagonal axes)
Asymmetric unit:
Be1 0.0000 0.0000 0.0000 (multiplicity 3)  6 Cl 2.25
Sn1 0.0000 0.0000 0.5000 (multiplicity 3)  6 Sn 3.22
Cl1 0.0000 0.0000 0.3675 (multiplicity 6)  3 Be 2.25

- magnetization (μB/atom) = 0.000


Entry y
## BeSnCl2 (PBE)

Data for a geometry-optimized BeSnCl2 structure.

Cell lengths 6.5256, 6.5256, 9.1296 Å; angles 90.00, 90.00, 90.00 degrees
With the nearest neighbours (Å) after each atom.
Space group I-42d (No. 122)
Asymmetric unit:
Be1 0.0000 0.0000 0.0000 (multiplicity 4)  4 Cl 2.02
Sn1 0.0000 0.0000 0.5000 (multiplicity 4)  8 Cl 3.54-3.81
Cl1 0.0510 0.2500 0.1250 (multiplicity 8)  2 Be 2.02

- magnetization (μB/atom) = 0.000


Which one sits at the top of the stability order? entry x does.


Entry w
## Be2SnCl (PBE)

Data for a geometry-optimized Be2SnCl structure.

Cell lengths 5.4535, 5.4535, 10.6685 Å; angles 90.00, 90.00, 90.00 degrees
With the nearest neighbours (Å) after each atom.
Space group I-42d (No. 122)
Asymmetric unit:
Be1 0.2196 0.2500 0.1250 (multiplicity 8)  2 Cl 2.25, 2 Sn 2.44
Sn1 0.0000 0.0000 0.5000 (multiplicity 4)  4 Be 2.44
Cl1 0.0000 0.0000 0.0000 (multiplicity 4)  4 Be 2.25

- magnetization (μB/atom) = 0.000


Entry x
## Be2SnCl (PBE)

Data for a geometry-optimized Be2SnCl structure.

Cell lengths 6.5437, 6.5437, 6.5437 Å; angles 90.00, 90.00, 90.00 degrees
With the nearest neighbours (Å) after each atom.
Space group Fm-3m (No. 225)
Asymmetric unit:
Be1 0.2500 0.2500 0.2500 (multiplicity 8)  4 Cl 2.83, 4 Sn 2.83
Sn1 0.0000 0.0000 0.0000 (multiplicity 4)  8 Be 2.83
Cl1 0.0000 0.0000 0.5000 (multiplicity 4)  8 Be 2.83

- magnetization (μB/atom) = 0.000


Which one sits at the top of the stability order? entry w does.


Entry w
## SrBeCl4 (PBE)

Data for a geometry-optimized SrBeCl4 structure.

Cell lengths 6.0346, 8.9582, 6.2362 Å; angles 90.00, 107.87, 90.00 degrees
With the nearest neighbours (Å) after each atom.
Space group P2_1/m (No. 11)
Asymmetric unit:
Sr1 0.1003 0.2500 0.1630 (multiplicity 2)  8 Cl 2.98-3.31, 1 Be 3.32
Be1 0.1738 0.7500 0.3874 (multiplicity 2)  4 Cl 2.00-2.05
Cl1 0.1730 0.2500 0.6582 (multiplicity 2)  1 Be 2.02
Cl2 0.2434 0.5710 0.2141 (multiplicity 4)  1 Be 2.05
Cl3 0.3524 0.7500 0.7156 (multiplicity 2)  1 Be 2.00

- magnetization (μB/atom) = 0.000


Entry x
## SrBeCl4 (PBE)

Data for a geometry-optimized SrBeCl4 structure.

Cell lengths 8.5344, 8.5344, 8.5344 Å; angles 90.00, 90.00, 90.00 degrees
With the nearest neighbours (Å) after each atom.
Space group F-43m (No. 216)
Asymmetric unit:
Sr1 0.0000 0.0000 0.0000 (multiplicity 4)  12 Cl 3.54, 4 Be 3.70
Be1 0.2500 0.2500 0.7500 (multiplicity 4)  12 Cl 3.54, 4 Sr 3.70
Cl1 0.1245 0.1245 0.3755 (multiplicity 16)  6 Cl 3.00-3.03

- magnetization (μB/atom) = 0.339


Entry y
## SrBeCl4 (PBE)

Data for a geometry-optimized SrBeCl4 structure.

Cell lengths 10.1370, 7.7151, 8.8135 Å; angles 90.00, 95.63, 90.00 degrees
With the nearest neighbours (Å) after each atom.
Space group C2/c (No. 15)
Asymmetric unit:
Sr1 0.2500 0.2500 0.0000 (multiplicity 4)  6 Cl 2.86-3.05
Be1 0.0000 0.1460 0.2500 (multiplicity 4)  4 Cl 2.01-2.07
Cl1 0.0203 0.2912 0.4398 (multiplicity 8)  1 Be 2.01
Cl2 0.1704 0.0006 0.7430 (multiplicity 8)  1 Be 2.07

- magnetization (μB/atom) = 0.000


Which one sits at the top of the stability order? entry w does.


Entry w
## SrBe3Cl (PBE)

Data for a geometry-optimized SrBe3Cl structure.

Cell lengths 6.0958, 6.0958, 6.0958 Å; angles 90.00, 90.00, 90.00 degrees
With the nearest neighbours (Å) after each atom.
Space group Pm-3m (No. 221)
Asymmetric unit:
Sr1 0.0000 0.0000 0.0000 (multiplicity 1)  6 Be 3.05
Be1 0.0000 0.0000 0.5000 (multiplicity 3)  2 Sr 3.05
Cl1 0.5000 0.5000 0.5000 (multiplicity 1)  12 Be 4.31

- magnetization (μB/atom) = 0.000


Entry x
## SrBe3Cl (PBE)

Data for a geometry-optimized SrBe3Cl structure.

Cell lengths 4.7201, 4.7201, 4.7201 Å; angles 90.00, 90.00, 90.00 degrees
With the nearest neighbours (Å) after each atom.
Space group Pm-3m (No. 221)
Asymmetric unit:
Sr1 0.0000 0.0000 0.0000 (multiplicity 1)  12 Be 3.34
Be1 0.0000 0.5000 0.5000 (multiplicity 3)  2 Cl 2.36
Cl1 0.5000 0.5000 0.5000 (multiplicity 1)  6 Be 2.36

- magnetization (μB/atom) = 0.000


Which one sits at the top of the stability order? entry x does.


Entry w
## TaBe2Cl (PBE)

Data for a geometry-optimized TaBe2Cl structure.

Cell lengths 6.5357, 6.5357, 5.0477 Å; angles 90.00, 90.00, 90.00 degrees
With the nearest neighbours (Å) after each atom.
Space group I-42d (No. 122)
Asymmetric unit:
Ta1 0.0000 0.0000 0.0000 (multiplicity 4)  2 Cl 2.52, 4 Be 2.55
Be1 0.2172 0.2500 0.6250 (multiplicity 8)  2 Cl 2.25
Cl1 0.0000 0.0000 0.5000 (multiplicity 4)  4 Be 2.25, 2 Ta 2.52

- magnetization (μB/atom) = 0.000


Entry x
## TaBe2Cl (PBE)

Data for a geometry-optimized TaBe2Cl structure.

Cell lengths 4.5325, 2.8635, 4.5937 Å; angles 90.00, 112.64, 90.00 degrees
With the nearest neighbours (Å) after each atom.
Space group P2/m (No. 10)
Asymmetric unit:
Ta1 0.0000 0.0000 0.0000 (multiplicity 1)  6 Be 2.53-2.71, 4 Cl 2.68
Be1 0.0000 0.5000 0.5000 (multiplicity 1)  2 Cl 2.53, 4 Be 2.68, 4 Ta 2.71
Be2 0.5000 0.0000 0.5000 (multiplicity 1)  2 Ta 2.53, 4 Be 2.68, 4 Cl 2.71
Cl1 0.5000 0.5000 0.0000 (multiplicity 1)  6 Be 2.53-2.71, 4 Ta 2.68

- magnetization (μB/atom) = 0.000


Which one sits at the top of the stability order? entry x does.


Entry w
## TaBe2Cl (PBE)

Data for a geometry-optimized TaBe2Cl structure.

Cell lengths 3.2867, 3.2867, 5.5954 Å; angles 90.00, 90.00, 90.00 degrees
With the nearest neighbours (Å) after each atom.
Space group P4/mmm (No. 123)
Asymmetric unit:
Ta1 0.0000 0.0000 0.0000 (multiplicity 1)  8 Be 2.53, 2 Cl 2.80
Be1 0.5000 0.5000 0.1775 (multiplicity 2)  1 Be 1.99
Cl1 0.0000 0.0000 0.5000 (multiplicity 1)  2 Ta 2.80, 8 Be 2.94

- magnetization (μB/atom) = 0.000


Entry x
## TaBe2Cl (PBE)

Data for a geometry-optimized TaBe2Cl structure.

Cell lengths 2.8359, 4.1909, 4.6325 Å; angles 90.00, 90.00, 90.00 degrees
With the nearest neighbours (Å) after each atom.
Space group Pmmm (No. 47)
Asymmetric unit:
Ta1 0.0000 0.0000 0.0000 (multiplicity 1)  4 Cl 2.53, 4 Be 2.72
Be1 0.0000 0.5000 0.5000 (multiplicity 1)  4 Be 2.53, 4 Cl 2.72
Be2 0.5000 0.0000 0.5000 (multiplicity 1)  4 Be 2.53, 4 Ta 2.72
Cl1 0.5000 0.5000 0.0000 (multiplicity 1)  4 Ta 2.53, 4 Be 2.72

- magnetization (μB/atom) = 0.000


Entry y
## TaBe2Cl (PBE)

Data for a geometry-optimized TaBe2Cl structure.

Cell lengths 6.0030, 6.0030, 6.0030 Å; angles 90.00, 90.00, 90.00 degrees
With the nearest neighbours (Å) after each atom.
Space group F-43m (No. 216)
Asymmetric unit:
Ta1 0.0000 0.0000 0.0000 (multiplicity 4)  4 Cl 2.60, 4 Be 2.60
Be1 0.0000 0.0000 0.5000 (multiplicity 4)  4 Cl 2.60, 4 Be 2.60
Be2 0.2500 0.2500 0.2500 (multiplicity 4)  4 Ta 2.60, 4 Be 2.60
Cl1 0.2500 0.2500 0.7500 (multiplicity 4)  4 Ta 2.60, 4 Be 2.60

- magnetization (μB/atom) = 0.000


Which one sits at the top of the stability order? entry w does.


Entry w
## TaBe2Cl (PBE)

Data for a geometry-optimized TaBe2Cl structure.

Cell lengths 2.8766, 2.8766, 8.2436 Å; angles 90.00, 90.00, 90.00 degrees
With the nearest neighbours (Å) after each atom.
Space group P4mm (No. 99)
Asymmetric unit:
Ta1 0.0000 0.0000 0.0000 (multiplicity 1)  5 Be 2.60-2.68, 4 Cl 2.64, 4 Ta 2.88
Be1 0.0000 0.0000 0.3160 (multiplicity 1)  4 Be 2.21
Be2 0.5000 0.5000 0.2110 (multiplicity 1)  4 Be 2.21
Cl1 0.5000 0.5000 0.7962 (multiplicity 1)  4 Ta 2.64, 4 Cl 2.88

- magnetization (μB/atom) = 0.000


Entry x
## TaBe2Cl (PBE)

Data for a geometry-optimized TaBe2Cl structure.

Cell lengths 4.9093, 7.8723, 2.8637 Å; angles 90.00, 90.00, 90.00 degrees
With the nearest neighbours (Å) after each atom.
Space group Cmmm (No. 65)
Asymmetric unit:
Ta1 0.0000 0.0000 0.0000 (multiplicity 2)  2 Cl 2.45, 8 Be 2.73
Be1 0.2500 0.2500 0.5000 (multiplicity 4)  2 Be 2.45, 4 Ta 2.73, 4 Cl 2.73
Cl1 0.0000 0.5000 0.0000 (multiplicity 2)  2 Ta 2.45, 8 Be 2.73

- magnetization (μB/atom) = 0.000


Which one sits at the top of the stability order? entry w does.


Entry w
## TaBe2Cl (PBE)

Data for a geometry-optimized TaBe2Cl structure.

Cell lengths 2.9693, 2.9693, 22.5169 Å; angles 90.00, 90.00, 120.00 degrees
With the nearest neighbours (Å) after each atom.
Space group R-3m (No. 166, hexagonal axes)
Asymmetric unit:
Ta1 0.0000 0.0000 0.0000 (multiplicity 3)  6 Be 2.66, 6 Ta 2.97
Be1 0.0000 0.0000 0.2431 (multiplicity 6)  3 Cl 2.43, 3 Ta 2.66
Cl1 0.0000 0.0000 0.5000 (multiplicity 3)  6 Be 2.43

- magnetization (μB/atom) = 0.000


Entry x
## TaBe2Cl (PBE)

Data for a geometry-optimized TaBe2Cl structure.

Cell lengths 2.9799, 2.9799, 25.6881 Å; angles 90.00, 90.00, 120.00 degrees
With the nearest neighbours (Å) after each atom.
Space group R3m (No. 160, hexagonal axes)
Asymmetric unit:
Ta1 0.0000 0.0000 0.0000 (multiplicity 3)  3 Cl 2.51, 3 Be 2.62
Be1 0.0000 0.0000 0.4626 (multiplicity 3)  3 Be 2.18
Be2 0.0000 0.0000 0.7436 (multiplicity 3)  3 Be 2.18
Cl1 0.0000 0.0000 0.2621 (multiplicity 3)  3 Ta 2.51

- magnetization (μB/atom) = 0.000


Which one sits at the top of the stability order? entry x does.